1.
{
  "formula": "Ca2Nd6Tm",
  "functional": "PBE",
  "state": "relaxed",
  "e_form_mev_per_atom": 49,
  "crystal_system": "triclinic",
  "dft_energy_ev_per_atom": -4.07,
  "cell": [[7.1708, 0.4045, -1.7247], [4.4044, 7.9198, -3.6627], [-6.0640, -2.3234, 13.7911]],
  "species": ["Nd", "Nd", "Nd", "Nd", "Nd", "Nd", "Nd", "Nd", "Nd", "Nd", "Nd", "Nd", "Ca", "Ca", "Ca", "Ca", "Tm", "Tm"],
  "frac_coords": [[0.7559, 0.5040, 0.0056], [0.3049, 0.9497, 0.1098], [0.0844, 0.1729, 0.6706], [0.6429, 0.6181, 0.7826], [0.1315, 0.6237, 0.7879], [0.2441, 0.4960, 0.9944], [0.5181, 0.7229, 0.5609], [0.6951, 0.0503, 0.8902], [0.8685, 0.3763, 0.2121], [0.4819, 0.2771, 0.4391], [0.9156, 0.8271, 0.3294], [0.3571, 0.3819, 0.2174], [0.5865, 0.1713, 0.6713], [0.4135, 0.8287, 0.3287], [0.0302, 0.7228, 0.5592], [0.9698, 0.2772, 0.4408], [0.2076, 0.0600, 0.8978], [0.7924, 0.9400, 0.1022]]
}

***

2.
{
  "formula": "Pr5Ho6",
  "functional": "PBE",
  "state": "relaxed",
  "de_polymorph_mev_per_atom": 21,
  "e_form_mev_per_atom": 136,
  "crystal_system": "monoclinic",
  "dft_energy_ev_per_atom": -4.53,
  "cell": [[9.0973, 0.0000, -0.6126], [4.5486, 6.6535, -0.3063], [2.3804, 0.0000, 6.0192]],
  "species": ["Pr", "Pr", "Pr", "Pr", "Pr", "Ho", "Ho", "Ho", "Ho", "Ho", "Ho"],
  "frac_coords": [[0.3682, 0.2636, 0.0000], [0.7619, 0.4761, 0.5000], [0.6318, 0.7364, 0.0000], [0.2381, 0.5239, 0.5000], [0.5000, 0.0000, 0.5000], [0.1610, 0.0000, 0.3062], [0.9521, 0.7463, 0.1750], [0.8390, 0.0000, 0.6938], [0.3016, 0.7463, 0.8250], [0.0479, 0.2537, 0.8250], [0.6984, 0.2537, 0.1750]]
}

***

3.
{
  "formula": "Ba4NaAl",
  "functional": "PBE",
  "state": "relaxed",
  "e_form_mev_per_atom": 70,
  "crystal_system": "trigonal",
  "dft_energy_ev_per_atom": -2.06,
  "cell": [[-5.6083, 2.3621, 0.6402], [-4.3747, -3.2241, 2.8125], [-0.6019, 3.7746, 10.0474]],
  "species": ["Na", "Ba", "Ba", "Ba", "Ba", "Al"],
  "frac_coords": [[0.5000, 0.5000, 0.5000], [0.8891, 0.8891, 0.3327], [0.1109, 0.1109, 0.6673], [0.3605, 0.3604, 0.9185], [0.6395, 0.6396, 0.0815], [0.0000, 0.0000, 0.0000]]
}

***

4.
{
  "formula": "ScFeP2S",
  "functional": "PBE",
  "state": "relaxed",
  "de_polymorph_mev_per_atom": 775,
  "crystal_system": "tetragonal",
  "dft_energy_ev_per_atom": -5.30,
  "cell": [[4.9073, 0.0000, 0.0000], [0.0000, 4.9073, 0.0000], [0.0000, 0.0000, 4.8075]],
  "species": ["Fe", "S", "P", "P", "Sc"],
  "frac_coords": [[0.5000, 0.5000, 0.5000], [0.0000, 0.0000, 0.5000], [0.0000, 0.5000, 0.0000], [0.5000, 0.0000, 0.0000], [0.0000, 0.0000, 0.0000]]
}

***

5.
{
  "formula": "CaGe2Sb",
  "functional": "PBE",
  "state": "relaxed",
  "crystal_system": "tetragonal",
  "dft_energy_ev_per_atom": -3.98,
  "cell": [[8.1547, 0.0000, 0.0000], [0.0000, 8.1547, 0.0000], [4.0773, 4.0773, 3.0837]],
  "species": ["Ca", "Ca", "Sb", "Sb", "Ge", "Ge", "Ge", "Ge"],
  "frac_coords": [[0.5000, 0.5000, 0.0000], [0.2500, 0.7500, 0.5000], [0.7500, 0.2500, 0.5000], [0.0000, 0.0000, 0.0000], [0.3750, 0.3484, 0.7500], [0.6516, 0.1250, 0.2500], [0.0984, 0.6250, 0.2500], [0.8750, 0.9016, 0.7500]]
}

***

6.
{
  "formula": "SiGe2F2",
  "functional": "PBE",
  "state": "relaxed",
  "de_polymorph_mev_per_atom": 129,
  "crystal_system": "tetragonal",
  "dft_energy_ev_per_atom": -4.34,
  "cell": [[-0.5347, -2.2633, -2.5960], [1.9317, -2.3721, 1.6702], [-4.2969, -4.3894, 2.3722]],
  "species": ["F", "F", "Si", "Ge", "Ge"],
  "frac_coords": [[0.7500, 0.2500, 0.5000], [0.2500, 0.7500, 0.5000], [0.0000, 0.0000, 0.0000], [0.6231, 0.6231, 0.7539], [0.3769, 0.3769, 0.2461]]
}

***

7.
{
  "formula": "KTlP2",
  "functional": "PBE",
  "state": "relaxed",
  "de_polymorph_mev_per_atom": 648,
  "e_form_mev_per_atom": 469,
  "crystal_system": "tetragonal",
  "dft_energy_ev_per_atom": -3.10,
  "cell": [[-3.7037, 2.2519, -3.4651], [1.1813, -1.7192, -5.1424], [-0.6905, -2.8415, 4.7163]],
  "species": ["Tl", "P", "P", "K"],
  "frac_coords": [[0.5000, 0.5000, 0.0000], [0.0000, 0.0000, 0.0000], [0.2500, 0.7500, 0.5000], [0.7500, 0.2500, 0.5000]]
}

***

8.
{
  "formula": "Mg3InSn",
  "functional": "PBE",
  "state": "relaxed",
  "de_polymorph_mev_per_atom": 0,
  "e_form_mev_per_atom": -80,
  "crystal_system": "monoclinic",
  "dft_energy_ev_per_atom": -2.38,
  "cell": [[8.4723, 1.6294, -0.6484], [5.5697, 6.5889, -0.6484], [2.8356, 1.6596, 9.9257]],
  "species": ["Mg", "Mg", "Mg", "Mg", "Mg", "Mg", "Mg", "Mg", "Mg", "Mg", "Mg", "Mg", "Sn", "Sn", "Sn", "Sn", "In", "In", "In", "In"],
  "frac_coords": [[0.0342, 0.1638, 0.7410], [0.8362, 0.9658, 0.7590], [0.7699, 0.6272, 0.2455], [0.3728, 0.2301, 0.2545], [0.6272, 0.7699, 0.7455], [0.2993, 0.7997, 0.9941], [0.1638, 0.0342, 0.2410], [0.7007, 0.2003, 0.0059], [0.9658, 0.8362, 0.2590], [0.2301, 0.3728, 0.7545], [0.7997, 0.2993, 0.4941], [0.2003, 0.7007, 0.5059], [0.4476, 0.5524, 0.7500], [0.5524, 0.4476, 0.2500], [0.0000, 0.5000, 0.5000], [0.5000, 0.0000, 0.0000], [0.3897, 0.9082, 0.4883], [0.9082, 0.3897, 0.9883], [0.0918, 0.6103, 0.0117], [0.6103, 0.0918, 0.5117]]
}